# Ce5MgIn2 (PBE, relaxed)
data_Ce5MgIn2
_symmetry_space_group_name_H-M 'P 1'
_symmetry_Int_Tables_number 1
_cell_length_a 6.825
_cell_length_b 13.915
_cell_length_c 4.472
_cell_angle_alpha 90.00
_cell_angle_beta 90.00
_cell_angle_gamma 90.00
loop_
_symmetry_equiv_pos_as_xyz
'x,y,z'
loop_
_atom_site_label
_atom_site_type_symbol
_atom_site_fract_x
_atom_site_fract_y
_atom_site_fract_z
Ce1 Ce 0.000 0.000 0.000
Ce2 Ce 0.070 0.270 0.000
Ce3 Ce 0.236 0.861 0.500
Ce4 Ce 0.264 0.361 0.500
Ce5 Ce 0.430 0.770 0.000
Ce6 Ce 0.500 0.500 0.000
Ce7 Ce 0.570 0.230 0.000
Ce8 Ce 0.736 0.639 0.500
Ce9 Ce 0.764 0.139 0.500
Ce10 Ce 0.930 0.730 0.000
Mg1 Mg 0.000 0.500 0.000
Mg2 Mg 0.500 0.000 0.000
In1 In 0.230 0.617 0.500
In2 In 0.270 0.117 0.500
In3 In 0.730 0.883 0.500
In4 In 0.770 0.383 0.500
# - Calculated total energy: -4.78 eV per atom
# - Energy of formation from the pure elements: -0.191 eV/atom

***

# CeMg3In4 (PBE, relaxed)
data_CeMg3In4
_symmetry_space_group_name_H-M 'P 1'
_symmetry_Int_Tables_number 1
_cell_length_a 5.004
_cell_length_b 5.004
_cell_length_c 7.861
_cell_angle_alpha 90.00
_cell_angle_beta 90.00
_cell_angle_gamma 90.00
loop_
_symmetry_equiv_pos_as_xyz
'x,y,z'
loop_
_atom_site_label
_atom_site_type_symbol
_atom_site_fract_x
_atom_site_fract_y
_atom_site_fract_z
Ce1 Ce 0.000 0.000 0.000
Mg1 Mg 0.000 0.000 0.500
Mg2 Mg 0.500 0.500 0.000
Mg3 Mg 0.500 0.500 0.500
In1 In 0.000 0.500 0.268
In2 In 0.000 0.500 0.732
In3 In 0.500 0.000 0.268
In4 In 0.500 0.000 0.732
# - Calculated total energy: -2.91 eV per atom
# - Energy of formation from the pure elements: -0.202 eV/atom

***

# Ce2MgIn4 (PBE, relaxed)
data_Ce2MgIn4
_symmetry_space_group_name_H-M 'P 1'
_symmetry_Int_Tables_number 1
_cell_length_a 8.919
_cell_length_b 8.919
_cell_length_c 8.919
_cell_angle_alpha 146.48
_cell_angle_beta 146.48
_cell_angle_gamma 48.14
loop_
_symmetry_equiv_pos_as_xyz
'x,y,z'
loop_
_atom_site_label
_atom_site_type_symbol
_atom_site_fract_x
_atom_site_fract_y
_atom_site_fract_z
Ce1 Ce 0.132 0.132 0.000
Ce2 Ce 0.868 0.868 0.000
Mg1 Mg 0.500 0.500 0.000
In1 In 0.000 0.500 0.500
In2 In 0.327 0.327 0.000
In3 In 0.500 0.000 0.500
In4 In 0.673 0.673 0.000
# - Calculated total energy: -3.39 eV per atom
# - Offset from the most stable computed form: 236.1 meV per atom
# - Energy of formation from the pure elements: 0.094 eV/atom

***

Question: Which of these has the lowest calculated total energy?
Answer: Ce5MgIn2

***

Question: Among the records above, which one has the highest energy of formation from the pure elements?
Answer: Ce2MgIn4